Record 1
! PrSm4Tm4 (PBE, optimized geometry); values from VASP
! - ΔE to the lowest computed polymorph (meV/atom) = 155.8
! - energy of formation (meV/atom) = 177
! - space-group type = No. 2
! - total DFT energy (no corrections) (eV/cell) = -39.9
&SYSTEM
  ibrav = 0, nat = 9, ntyp = 3
/
ATOMIC_SPECIES
Pr 140.91 Pr.upf
Sm 150.36 Sm.upf
Tm 168.93 Tm.upf
ATOMIC_POSITIONS crystal
Pr 0.000 0.000 0.000
Sm 0.179 0.471 0.357
Sm 0.382 0.807 0.766
Sm 0.618 0.193 0.234
Sm 0.821 0.529 0.643
Tm 0.202 0.984 0.403
Tm 0.396 0.294 0.795
Tm 0.604 0.706 0.205
Tm 0.798 0.016 0.597
CELL_PARAMETERS angstrom
5.688 0.000 0.000
-0.007 6.965 0.000
-2.821 -1.365 7.765


Record 2
! KNaMg5Si12O30 (PBE, optimized geometry); values from VASP
! - space-group type = No. 190
! - total DFT energy (no corrections) (eV/cell) = -720.2
&SYSTEM
  ibrav = 0, nat = 98, ntyp = 5
/
ATOMIC_SPECIES
K 39.10 K.upf
Na 22.99 Na.upf
Mg 24.30 Mg.upf
Si 28.09 Si.upf
O 16.00 O.upf
ATOMIC_POSITIONS crystal
K 0.000 0.000 0.000
K 0.000 0.000 0.500
Na 0.333 0.667 0.250
Na 0.667 0.333 0.750
Mg 0.000 0.503 0.000
Mg 0.000 0.503 0.500
Mg 0.333 0.667 0.504
Mg 0.333 0.667 0.996
Mg 0.497 0.497 0.000
Mg 0.497 0.497 0.500
Mg 0.503 0.000 0.000
Mg 0.503 0.000 0.500
Mg 0.667 0.333 0.004
Mg 0.667 0.333 0.496
Si 0.114 0.354 0.642
Si 0.114 0.354 0.858
Si 0.116 0.764 0.141
Si 0.116 0.764 0.359
Si 0.236 0.352 0.141
Si 0.236 0.352 0.359
Si 0.241 0.886 0.642
Si 0.241 0.886 0.858
Si 0.352 0.236 0.641
Si 0.352 0.236 0.859
Si 0.354 0.114 0.142
Si 0.354 0.114 0.358
Si 0.646 0.759 0.642
Si 0.646 0.759 0.858
Si 0.648 0.884 0.141
Si 0.648 0.884 0.359
Si 0.759 0.646 0.142
Si 0.759 0.646 0.358
Si 0.764 0.116 0.641
Si 0.764 0.116 0.859
Si 0.884 0.648 0.641
Si 0.884 0.648 0.859
Si 0.886 0.241 0.142
Si 0.886 0.241 0.358
O 0.056 0.270 0.116
O 0.056 0.270 0.384
O 0.059 0.777 0.623
O 0.059 0.777 0.877
O 0.119 0.397 0.750
O 0.147 0.741 0.250
O 0.153 0.495 0.576
O 0.153 0.495 0.924
O 0.158 0.660 0.079
O 0.158 0.660 0.421
O 0.213 0.944 0.116
O 0.213 0.944 0.384
O 0.223 0.283 0.623
O 0.223 0.283 0.877
O 0.259 0.405 0.250
O 0.270 0.056 0.616
O 0.270 0.056 0.884
O 0.277 0.881 0.750
O 0.283 0.223 0.123
O 0.283 0.223 0.377
O 0.340 0.498 0.079
O 0.340 0.498 0.421
O 0.342 0.847 0.576
O 0.342 0.847 0.924
O 0.397 0.119 0.250
O 0.405 0.259 0.750
O 0.495 0.153 0.076
O 0.495 0.153 0.424
O 0.498 0.340 0.579
O 0.498 0.340 0.921
O 0.502 0.842 0.079
O 0.502 0.842 0.421
O 0.505 0.658 0.576
O 0.505 0.658 0.924
O 0.595 0.853 0.250
O 0.603 0.723 0.750
O 0.658 0.505 0.076
O 0.658 0.505 0.424
O 0.660 0.158 0.579
O 0.660 0.158 0.921
O 0.717 0.941 0.623
O 0.717 0.941 0.877
O 0.723 0.603 0.250
O 0.730 0.787 0.116
O 0.730 0.787 0.384
O 0.741 0.147 0.750
O 0.777 0.059 0.123
O 0.777 0.059 0.377
O 0.787 0.730 0.616
O 0.787 0.730 0.884
O 0.842 0.502 0.579
O 0.842 0.502 0.921
O 0.847 0.342 0.076
O 0.847 0.342 0.424
O 0.853 0.595 0.750
O 0.881 0.277 0.250
O 0.941 0.717 0.123
O 0.941 0.717 0.377
O 0.944 0.213 0.616
O 0.944 0.213 0.884
CELL_PARAMETERS angstrom
10.262 0.000 0.000
-5.131 8.887 0.000
0.000 0.000 14.529


Record 3
! Be3PF (PBE, optimized geometry); values from VASP
! - ΔE to the lowest computed polymorph (meV/atom) = 0.0
! - space-group type = No. 221
! - total DFT energy (no corrections) (eV/cell) = -17.3
&SYSTEM
  ibrav = 0, nat = 5, ntyp = 3
/
ATOMIC_SPECIES
Be 9.01 Be.upf
P 30.97 P.upf
F 19.00 F.upf
ATOMIC_POSITIONS crystal
Be 0.000 0.000 0.500
Be 0.000 0.500 0.000
Be 0.500 0.000 0.000
P 0.500 0.500 0.500
F 0.000 0.000 0.000
CELL_PARAMETERS angstrom
3.756 0.000 0.000
0.000 3.756 0.000
0.000 0.000 3.756


Record 4
! PmNdThHg (PBE, optimized geometry); values from VASP
! - energy of formation (meV/atom) = 18
! - space-group type = No. 216
! - total DFT energy (no corrections) (eV/cell) = -17.2
&SYSTEM
  ibrav = 0, nat = 4, ntyp = 4
/
ATOMIC_SPECIES
Pm 145.00 Pm.upf
Nd 144.24 Nd.upf
Th 232.04 Th.upf
Hg 200.59 Hg.upf
ATOMIC_POSITIONS crystal
Pm 0.000 0.000 0.000
Nd 0.750 0.750 0.750
Th 0.250 0.250 0.250
Hg 0.500 0.500 0.500
CELL_PARAMETERS angstrom
0.000 3.909 3.909
3.909 0.000 3.909
3.909 3.909 0.000


Record 5
! CsTeBr2Cl (PBE, optimized geometry); values from VASP
! - space-group type = No. 123
! - total DFT energy (no corrections) (eV/cell) = -13.6
&SYSTEM
  ibrav = 0, nat = 5, ntyp = 4
/
ATOMIC_SPECIES
Cs 132.91 Cs.upf
Te 127.60 Te.upf
Br 79.90 Br.upf
Cl 35.45 Cl.upf
ATOMIC_POSITIONS crystal
Cs 0.000 0.000 0.000
Te 0.500 0.500 0.500
Br 0.000 0.500 0.500
Br 0.500 0.000 0.500
Cl 0.500 0.500 0.000
CELL_PARAMETERS angstrom
5.999 0.000 0.000
0.000 5.999 0.000
0.000 0.000 5.362


Record 6
! AcSiNi (PBE, optimized geometry); values from VASP
! - ΔE to the lowest computed polymorph (meV/atom) = 0.0
! - space-group type = No. 14
! - total DFT energy (no corrections) (eV/cell) = -69.1
&SYSTEM
  ibrav = 0, nat = 12, ntyp = 3
/
ATOMIC_SPECIES
Ac 227.00 Ac.upf
Si 28.09 Si.upf
Ni 58.69 Ni.upf
ATOMIC_POSITIONS crystal
Ac 0.192 0.137 0.391
Ac 0.192 0.363 0.891
Ac 0.808 0.637 0.109
Ac 0.808 0.863 0.609
Si 0.308 0.650 0.589
Si 0.308 0.850 0.089
Si 0.692 0.150 0.911
Si 0.692 0.350 0.411
Ni 0.390 0.601 0.328
Ni 0.390 0.899 0.828
Ni 0.610 0.101 0.172
Ni 0.610 0.399 0.672
CELL_PARAMETERS angstrom
6.298 0.000 0.000
0.000 6.405 0.000
-3.882 0.000 6.498


Record 7
! Co3Tc2 (PBE, optimized geometry); values from VASP
! - ΔE to the lowest computed polymorph (meV/atom) = 0.0
! - energy of formation (meV/atom) = -15
! - space-group type = No. 63
! - total DFT energy (no corrections) (eV/cell) = -84.2
&SYSTEM
  ibrav = 0, nat = 10, ntyp = 2
/
ATOMIC_SPECIES
Co 58.93 Co.upf
Tc 98.00 Tc.upf
ATOMIC_POSITIONS crystal
Co 0.041 0.363 0.250
Co 0.161 0.839 0.750
Co 0.363 0.041 0.750
Co 0.637 0.959 0.250
Co 0.839 0.161 0.250
Co 0.959 0.637 0.750
Tc 0.221 0.574 0.250
Tc 0.426 0.779 0.250
Tc 0.574 0.221 0.750
Tc 0.779 0.426 0.750
CELL_PARAMETERS angstrom
6.459 -2.249 0.000
6.459 2.249 0.000
0.000 0.000 4.138


Record 8
! Pr3Nd2Tl (PBE, optimized geometry); values from VASP
! - ΔE to the lowest computed polymorph (meV/atom) = 0.0
! - energy of formation (meV/atom) = -109
! - space-group type = No. 65
! - total DFT energy (no corrections) (eV/cell) = -26.9
&SYSTEM
  ibrav = 0, nat = 6, ntyp = 3
/
ATOMIC_SPECIES
Pr 140.91 Pr.upf
Nd 144.24 Nd.upf
Tl 204.38 Tl.upf
ATOMIC_POSITIONS crystal
Pr 0.000 0.000 0.000
Pr 0.336 0.664 0.000
Pr 0.664 0.336 0.000
Nd 0.163 0.837 0.500
Nd 0.837 0.163 0.500
Tl 0.500 0.500 0.500
CELL_PARAMETERS angstrom
2.516 -7.886 0.000
2.516 7.886 0.000
0.000 0.000 5.031


Record 9
! Ce4Pu3N8 (PBE, optimized geometry); values from VASP
! - space-group type = No. 12
! - total DFT energy (no corrections) (eV/cell) = -150.9
&SYSTEM
  ibrav = 0, nat = 15, ntyp = 3
/
ATOMIC_SPECIES
Ce 140.12 Ce.upf
Pu 244.00 Pu.upf
N 14.01 N.upf
ATOMIC_POSITIONS crystal
Ce 0.000 0.000 0.000
Ce 0.000 0.500 0.000
Ce 0.500 0.000 0.000
Ce 0.500 0.500 0.500
Pu 0.000 0.500 0.500
Pu 0.500 0.000 0.500
Pu 0.500 0.500 0.000
N 0.253 0.747 0.000
N 0.265 0.265 0.033
N 0.265 0.735 0.500
N 0.274 0.274 0.522
N 0.726 0.726 0.478
N 0.735 0.265 0.500
N 0.735 0.735 0.967
N 0.747 0.253 0.000
CELL_PARAMETERS angstrom
4.982 -4.979 0.000
4.982 4.979 0.000
-4.945 0.000 4.985


Record 10
! Cs2ScPa2Se6 (PBE, optimized geometry); values from VASP
! - space-group type = No. 12
! - total DFT energy (no corrections) (eV/cell) = -63.9
&SYSTEM
  ibrav = 0, nat = 11, ntyp = 4
/
ATOMIC_SPECIES
Cs 132.91 Cs.upf
Sc 44.96 Sc.upf
Pa 231.04 Pa.upf
Se 78.96 Se.upf
ATOMIC_POSITIONS crystal
Cs 0.168 0.832 0.000
Cs 0.832 0.168 0.000
Sc 0.000 0.000 0.500
Pa 0.335 0.665 0.500
Pa 0.665 0.335 0.500
Se 0.062 0.385 0.683
Se 0.260 0.260 0.316
Se 0.385 0.062 0.683
Se 0.615 0.938 0.317
Se 0.740 0.740 0.684
Se 0.938 0.615 0.317
CELL_PARAMETERS angstrom
3.569 -6.123 0.000
3.569 6.123 0.000
-2.360 0.000 8.668


Record 11
! SrTeN2 (PBE, optimized geometry); values from VASP
! - space-group type = No. 11
! - total DFT energy (no corrections) (eV/cell) = -48.5
&SYSTEM
  ibrav = 0, nat = 8, ntyp = 3
/
ATOMIC_SPECIES
Sr 87.62 Sr.upf
Te 127.60 Te.upf
N 14.01 N.upf
ATOMIC_POSITIONS crystal
Sr 0.214 0.250 0.426
Sr 0.786 0.750 0.574
Te 0.314 0.750 0.629
Te 0.686 0.250 0.371
N 0.086 0.646 0.169
N 0.086 0.854 0.169
N 0.914 0.146 0.831
N 0.914 0.354 0.831
CELL_PARAMETERS angstrom
6.397 0.000 0.000
0.000 5.371 0.000
-3.158 0.000 9.150


Record 12
! Ho3Si (PBE, optimized geometry); values from VASP
! - ΔE to the lowest computed polymorph (meV/atom) = 52.2
! - space-group type = No. 221
! - total DFT energy (no corrections) (eV/cell) = -20.2
&SYSTEM
  ibrav = 0, nat = 4, ntyp = 2
/
ATOMIC_SPECIES
Ho 164.93 Ho.upf
Si 28.09 Si.upf
ATOMIC_POSITIONS crystal
Ho 0.000 0.000 0.500
Ho 0.000 0.500 0.000
Ho 0.500 0.000 0.000
Si 0.500 0.500 0.500
CELL_PARAMETERS angstrom
4.605 0.000 0.000
0.000 4.605 0.000
0.000 0.000 4.605


Record 13
! HAuI2N (PBE, optimized geometry); values from VASP
! - ΔE to the lowest computed polymorph (meV/atom) = 0.0
! - space-group type = No. 123
! - total DFT energy (no corrections) (eV/cell) = -12.1
&SYSTEM
  ibrav = 0, nat = 5, ntyp = 4
/
ATOMIC_SPECIES
H 1.01 H.upf
Au 196.97 Au.upf
I 126.90 I.upf
N 14.01 N.upf
ATOMIC_POSITIONS crystal
H 0.000 0.000 0.000
Au 0.500 0.500 0.500
I 0.000 0.500 0.000
I 0.500 0.000 0.000
N 0.000 0.000 0.500
CELL_PARAMETERS angstrom
5.831 0.000 0.000
0.000 5.831 0.000
0.000 0.000 2.868


Record 14
! Tm2Si3Tc (PBE, optimized geometry); values from VASP
! - space-group type = No. 8
! - total DFT energy (no corrections) (eV/cell) = -39.0
&SYSTEM
  ibrav = 0, nat = 6, ntyp = 3
/
ATOMIC_SPECIES
Tm 168.93 Tm.upf
Si 28.09 Si.upf
Tc 98.00 Tc.upf
ATOMIC_POSITIONS crystal
Tm 0.000 0.000 0.000
Tm 0.104 0.104 0.601
Si 0.376 0.376 0.191
Si 0.415 0.415 0.624
Si 0.729 0.729 0.412
Tc 0.718 0.718 0.035
CELL_PARAMETERS angstrom
5.037 -2.134 0.000
5.037 2.134 0.000
-4.616 0.000 5.118


Record 15
! K3Na3AlF8 (PBE, optimized geometry); values from VASP
! - space-group type = No. 166
! - total DFT energy (no corrections) (eV/cell) = -67.4
&SYSTEM
  ibrav = 0, nat = 15, ntyp = 4
/
ATOMIC_SPECIES
K 39.10 K.upf
Na 22.99 Na.upf
Al 26.98 Al.upf
F 19.00 F.upf
ATOMIC_POSITIONS crystal
K 0.000 0.500 0.500
K 0.500 0.000 0.500
K 0.500 0.500 0.000
Na 0.000 0.000 0.500
Na 0.000 0.500 0.000
Na 0.500 0.000 0.000
Al 0.500 0.500 0.500
F 0.236 0.236 0.236
F 0.305 0.682 0.682
F 0.318 0.318 0.695
F 0.318 0.695 0.318
F 0.682 0.305 0.682
F 0.682 0.682 0.305
F 0.695 0.318 0.318
F 0.764 0.764 0.764
CELL_PARAMETERS angstrom
3.494 2.017 6.177
-3.494 2.017 6.177
0.000 -4.035 6.177


Record 16
! Ca2ErPbS4 (PBE, optimized geometry); values from VASP
! - space-group type = No. 10
! - total DFT energy (no corrections) (eV/cell) = -41.8
&SYSTEM
  ibrav = 0, nat = 8, ntyp = 4
/
ATOMIC_SPECIES
Ca 40.08 Ca.upf
Er 167.26 Er.upf
Pb 207.20 Pb.upf
S 32.06 S.upf
ATOMIC_POSITIONS crystal
Ca 0.000 0.000 0.000
Ca 0.000 0.500 0.500
Er 0.500 0.000 0.500
Pb 0.500 0.500 0.000
S 0.246 0.000 0.733
S 0.254 0.500 0.263
S 0.746 0.500 0.737
S 0.754 0.000 0.267
CELL_PARAMETERS angstrom
6.985 0.000 0.000
0.000 4.020 0.000
-2.347 0.000 6.683


Record 17
! LiZrRu (PBE, optimized geometry); values from VASP
! - ΔE to the lowest computed polymorph (meV/atom) = 0.0
! - energy of formation (meV/atom) = -230
! - space-group type = No. 164
! - total DFT energy (no corrections) (eV/cell) = -40.9
&SYSTEM
  ibrav = 0, nat = 6, ntyp = 3
/
ATOMIC_SPECIES
Li 6.94 Li.upf
Zr 91.22 Zr.upf
Ru 101.07 Ru.upf
ATOMIC_POSITIONS crystal
Li 0.000 0.000 0.000
Li 0.000 0.000 0.500
Zr 0.333 0.667 0.305
Zr 0.667 0.333 0.695
Ru 0.333 0.667 0.804
Ru 0.667 0.333 0.196
CELL_PARAMETERS angstrom
4.650 0.000 0.000
-2.325 4.027 0.000
0.000 0.000 5.336


Record 18
! CaFeMo2 (PBE, optimized geometry); values from VASP
! - ΔE to the lowest computed polymorph (meV/atom) = 97.8
! - energy of formation (meV/atom) = 617
! - space-group type = No. 8
! - total DFT energy (no corrections) (eV/cell) = -29.7
&SYSTEM
  ibrav = 0, nat = 4, ntyp = 3
/
ATOMIC_SPECIES
Ca 40.08 Ca.upf
Fe 55.84 Fe.upf
Mo 95.94 Mo.upf
ATOMIC_POSITIONS crystal
Ca 0.000 0.000 0.000
Fe 0.772 0.772 0.336
Mo 0.206 0.206 0.635
Mo 0.486 0.486 0.484
CELL_PARAMETERS angstrom
4.669 -1.567 0.000
4.669 1.567 0.000
-1.642 0.000 5.304


Record 19
! RbSc2Zn (PBE, optimized geometry); values from VASP
! - energy of formation (meV/atom) = 772
! - space-group type = No. 141
! - total DFT energy (no corrections) (eV/cell) = -23.6
&SYSTEM
  ibrav = 0, nat = 8, ntyp = 3
/
ATOMIC_SPECIES
Rb 85.47 Rb.upf
Sc 44.96 Sc.upf
Zn 65.41 Zn.upf
ATOMIC_POSITIONS crystal
Rb 0.375 0.625 0.750
Rb 0.625 0.375 0.250
Sc 0.000 0.000 0.000
Sc 0.000 0.000 0.500
Sc 0.000 0.500 0.000
Sc 0.500 0.000 0.500
Zn 0.125 0.875 0.250
Zn 0.875 0.125 0.750
CELL_PARAMETERS angstrom
-3.046 3.046 9.012
3.046 -3.046 9.012
3.046 3.046 -9.012


Record 20
! Pr6Y3HoEr2 (PBE, optimized geometry); values from VASP
! - energy of formation (meV/atom) = 10
! - space-group type = No. 12
! - total DFT energy (no corrections) (eV/cell) = -61.7
&SYSTEM
  ibrav = 0, nat = 12, ntyp = 4
/
ATOMIC_SPECIES
Pr 140.91 Pr.upf
Y 88.91 Y.upf
Ho 164.93 Ho.upf
Er 167.26 Er.upf
ATOMIC_POSITIONS crystal
Pr 0.083 0.417 0.752
Pr 0.250 0.250 0.248
Pr 0.417 0.083 0.752
Pr 0.583 0.917 0.248
Pr 0.750 0.750 0.752
Pr 0.917 0.583 0.248
Y 0.000 0.000 0.500
Y 0.333 0.667 0.500
Y 0.667 0.333 0.500
Ho 0.500 0.500 0.000
Er 0.167 0.833 0.000
Er 0.833 0.167 0.000
CELL_PARAMETERS angstrom
3.154 -5.463 0.000
3.154 5.463 0.000
-2.099 0.000 11.691